Here is a relaxed structure of TbHoAg4 from Alexandria via LeMat-Bulk. Energies are from PBE.

E ... -3.6071 eV per atom
Total magnetization ... 0.000 μB per atom
ΔH_f (0 K) ... -0.172 eV/atom
Volume ... 21.8 Å³ per atom

Unit cell a=5.7005 b=5.7005 c=5.7005 alpha=60.00 beta=60.00 gamma=60.00
With the nearest neighbours (Å) after each atom.
Sites, in units of the cell vectors:
Tb1 0.0000 0.0000 0.0000  12 Ag 3.34, 4 Ho 3.49
Ho1 0.2500 0.2500 0.2500  12 Ag 3.34, 4 Tb 3.49
Ag1 0.6249 0.6249 0.1252  6 Ag 2.85
Ag2 0.6249 0.1252 0.6249  6 Ag 2.85
Ag3 0.6249 0.6249 0.6249  6 Ag 2.85
Ag4 0.1252 0.6249 0.6249  6 Ag 2.85

---

Here is a relaxed structure of Tb3Ho4Ag from Alexandria via LeMat-Bulk. Energies are from PBE.

E ... -4.4407 eV per atom
Total magnetization ... 0.000 μB per atom
ΔH_f (0 K) ... -0.059 eV/atom
Volume ... 29.6 Å³ per atom

Unit cell a=3.5393 b=3.5393 c=18.9240 alpha=90.00 beta=90.00 gamma=90.00
With the nearest neighbours (Å) after each atom.
Sites, in units of the cell vectors:
Tb1 0.5000 0.5000 0.2351  8 Ho 3.54-3.57, 4 Tb 3.54
Tb2 0.5000 0.5000 0.5000  4 Tb 3.54, 8 Ho 3.55
Tb3 0.5000 0.5000 0.7649  8 Ho 3.54-3.57, 4 Tb 3.54
Ho1 0.0000 0.0000 0.8996  4 Ag 3.14
Ho2 0.0000 0.0000 0.1004  4 Ag 3.14
Ho3 0.0000 0.0000 0.3671  8 Tb 3.54-3.55, 4 Ho 3.54
Ho4 0.0000 0.0000 0.6329  8 Tb 3.54-3.55, 4 Ho 3.54
Ag1 0.5000 0.5000 0.0000  8 Ho 3.14

---

Here is a relaxed structure of TbHo2Ag2 from Alexandria via LeMat-Bulk. Energies are from PBE.

E ... -4.1388 eV per atom
Total magnetization ... 0.000 μB per atom
ΔH_f (0 K) ... -0.241 eV/atom
Volume ... 25.5 Å³ per atom

Unit cell a=3.6268 b=5.2452 c=13.5044 alpha=90.00 beta=97.70 gamma=90.00
With the nearest neighbours (Å) after each atom.
Sites, in units of the cell vectors:
Tb1 0.8541 0.7500 0.7089  6 Ag 3.19-3.21, 2 Ho 3.54
Tb2 0.1459 0.2500 0.2911  6 Ag 3.19-3.21, 2 Ho 3.54
Ho1 0.0475 0.7500 0.0951  8 Ag 3.10-3.19
Ho2 0.9525 0.2500 0.9049  8 Ag 3.10-3.19
Ho3 0.2348 0.7500 0.4690  2 Ag 3.06, 4 Ho 3.29-3.30
Ho4 0.7652 0.2500 0.5310  2 Ag 3.06, 4 Ho 3.29-3.30
Ag1 0.6426 0.7500 0.2845  4 Ho 3.06-3.12, 4 Tb 3.19
Ag2 0.3574 0.2500 0.7155  4 Ho 3.06-3.12, 4 Tb 3.19
Ag3 0.4532 0.7500 0.9069  6 Ho 3.10-3.19, 2 Tb 3.21
Ag4 0.5468 0.2500 0.0931  6 Ho 3.10-3.19, 2 Tb 3.21

---

Here is a relaxed structure of TbHoAg from Alexandria via LeMat-Bulk. Energies are from PBE.

E ... -4.1947 eV per atom
Total magnetization ... 0.249 μB per atom
ΔH_f (0 K) ... -0.175 eV/atom
Volume ... 26.9 Å³ per atom

Unit cell a=3.5859 b=3.5859 c=6.7679 alpha=105.36 beta=105.36 gamma=90.00
With the nearest neighbours (Å) after each atom.
Sites, in units of the cell vectors:
Tb1 0.0163 0.0163 0.0325  4 Ag 3.18
Ho1 0.3148 0.3148 0.6297  4 Ag 3.13
Ag1 0.6689 0.6689 0.3378  4 Ho 3.13, 4 Tb 3.18

---

Here is a relaxed structure of Tb4Ho5Ag from Alexandria via LeMat-Bulk. Energies are from PBE.

E ... -4.4694 eV per atom
Total magnetization ... 0.000 μB per atom
ΔH_f (0 K) ... -0.043 eV/atom
Volume ... 30.0 Å³ per atom

Unit cell a=3.5393 b=3.5393 c=23.9402 alpha=90.00 beta=90.00 gamma=90.00
With the nearest neighbours (Å) after each atom.
Sites, in units of the cell vectors:
Tb1 0.0000 0.0000 0.1859  8 Ho 3.53-3.57, 4 Tb 3.54
Tb2 0.0000 0.0000 0.3952  4 Tb 3.54, 8 Ho 3.54-3.55
Tb3 0.0000 0.0000 0.6048  4 Tb 3.54, 8 Ho 3.54-3.55
Tb4 0.0000 0.0000 0.8141  8 Ho 3.53-3.57, 4 Tb 3.54
Ho1 0.5000 0.5000 0.0794  4 Ag 3.14
Ho2 0.5000 0.5000 0.2900  8 Tb 3.53-3.55, 4 Ho 3.54
Ho3 0.5000 0.5000 0.5000  4 Ho 3.54, 8 Tb 3.54
Ho4 0.5000 0.5000 0.7100  8 Tb 3.53-3.55, 4 Ho 3.54
Ho5 0.5000 0.5000 0.9206  4 Ag 3.14
Ag1 0.0000 0.0000 0.0000  8 Ho 3.14

---

Here is a relaxed structure of TbHo2Ag4 from Alexandria via LeMat-Bulk. Energies are from PBE.

E ... -3.6939 eV per atom
Total magnetization ... 0.000 μB per atom
ΔH_f (0 K) ... -0.095 eV/atom
Volume ... 25.9 Å³ per atom

Unit cell a=6.1777 b=6.1777 c=6.1777 alpha=110.43 beta=109.00 gamma=109.00
With the nearest neighbours (Å) after each atom.
Sites, in units of the cell vectors:
Tb1 0.0000 0.0000 0.0000  8 Ag 3.09
Ho1 0.5000 0.5000 0.0000  8 Ag 3.09
Ho2 0.5000 0.0000 0.5000  8 Ag 3.09
Ag1 0.5000 0.0000 0.0000  4 Ho 3.09, 2 Tb 3.09
Ag2 0.5000 0.5000 0.5000  4 Ho 3.09, 2 Tb 3.09
Ag3 0.0000 0.0000 0.5000  2 Tb 3.09, 4 Ho 3.09
Ag4 0.0000 0.5000 0.0000  2 Tb 3.09, 4 Ho 3.09

---

Here is a relaxed structure of Tb2HoAg from Alexandria via LeMat-Bulk. Energies are from PBE.

E ... -4.2202 eV per atom
Total magnetization ... 0.000 μB per atom
ΔH_f (0 K) ... -0.048 eV/atom
Volume ... 27.8 Å³ per atom

Unit cell a=6.2858 b=6.4575 c=6.3456 alpha=94.77 beta=119.69 gamma=90.00
With the nearest neighbours (Å) after each atom.
Sites, in units of the cell vectors:
Tb1 0.2208 0.5775 0.4422  2 Ag 3.05-3.32, 4 Tb 3.23-3.38, 1 Ho 3.36
Tb2 0.7792 0.4225 0.5578  2 Ag 3.05-3.32, 4 Tb 3.23-3.38, 1 Ho 3.36
Tb3 0.2214 0.0775 0.4422  2 Ag 3.05-3.32, 4 Tb 3.23-3.38, 1 Ho 3.36
Tb4 0.7786 0.9225 0.5578  2 Ag 3.05-3.32, 4 Tb 3.23-3.38, 1 Ho 3.36
Ho1 0.3248 0.2500 0.0000  4 Ag 2.97-3.32
Ho2 0.6752 0.7500 0.0000  4 Ag 2.97-3.32
Ag1 0.2023 0.7500 0.0000  4 Ho 2.97-3.32, 4 Tb 3.05-3.32
Ag2 0.7977 0.2500 0.0000  4 Ho 2.97-3.32, 4 Tb 3.05-3.32

---

Here is a relaxed structure of TbHo4Ag from Alexandria via LeMat-Bulk. Energies are from PBE.

E ... -4.2509 eV per atom
Total magnetization ... 0.000 μB per atom
ΔH_f (0 K) ... 0.048 eV/atom
Volume ... 29.9 Å³ per atom

Unit cell a=5.4077 b=6.3997 c=10.7178 alpha=90.00 beta=104.61 gamma=90.00
With the nearest neighbours (Å) after each atom.
Sites, in units of the cell vectors:
Tb1 0.8651 0.7145 0.7302  2 Ag 3.20, 5 Ho 3.48-3.56
Tb2 0.1349 0.2145 0.2698  2 Ag 3.20, 5 Ho 3.48-3.56
Ho1 0.9343 0.2106 0.8685  2 Ag 3.26, 2 Tb 3.48-3.53, 4 Ho 3.50-3.58
Ho2 0.0657 0.7106 0.1315  2 Ag 3.26, 2 Tb 3.48-3.53, 4 Ho 3.50-3.58
Ho3 0.4651 0.8776 0.9301  2 Ag 2.92-2.98, 1 Ho 3.20
Ho4 0.5349 0.3776 0.0699  2 Ag 2.92-2.98, 1 Ho 3.20
Ho5 0.6768 0.5746 0.3535  1 Ag 2.95, 3 Ho 3.17-3.20
Ho6 0.3232 0.0746 0.6465  1 Ag 2.95, 3 Ho 3.17-3.20
Ho7 0.7434 0.0880 0.4869  1 Ag 3.02, 2 Ho 3.17
Ho8 0.2566 0.5880 0.5131  1 Ag 3.02, 2 Ho 3.17
Ag1 0.6029 0.9681 0.2057  6 Ho 2.92-3.26, 2 Tb 3.20
Ag2 0.3971 0.4681 0.7943  6 Ho 2.92-3.26, 2 Tb 3.20

---

Here is a relaxed structure of TbHoAg from Alexandria via LeMat-Bulk. Energies are from PBE.

E ... -4.0556 eV per atom
Total magnetization ... 0.000 μB per atom
ΔH_f (0 K) ... -0.036 eV/atom
Volume ... 26.8 Å³ per atom

Unit cell a=3.6458 b=5.0490 c=5.0490 alpha=120.00 beta=90.00 gamma=90.00
With the nearest neighbours (Å) after each atom.
Sites, in units of the cell vectors:
Tb1 0.6091 0.6667 0.3333  3 Ag 3.10, 3 Ho 3.36
Ho1 0.0670 0.0000 0.0000  3 Ag 3.06, 3 Tb 3.36
Ag1 0.3238 0.3333 0.6667  3 Ho 3.06, 3 Tb 3.10

---

Here is a relaxed structure of Tb3HoAg2 from Alexandria via LeMat-Bulk. Energies are from PBE.

E ... -4.2224 eV per atom
Total magnetization ... 0.000 μB per atom
ΔH_f (0 K) ... -0.194 eV/atom
Volume ... 27.0 Å³ per atom

Unit cell a=3.6277 b=3.6277 c=12.2900 alpha=90.00 beta=90.00 gamma=90.00
With the nearest neighbours (Å) after each atom.
Sites, in units of the cell vectors:
Tb1 0.0000 0.0000 0.0000  8 Ag 3.16
Tb2 0.0000 0.0000 0.7006  4 Ag 3.15
Tb3 0.0000 0.0000 0.2994  4 Ag 3.15
Ho1 0.5000 0.5000 0.5000  8 Tb 3.56, 4 Ho 3.63
Ag1 0.5000 0.5000 0.8500  8 Tb 3.15-3.16
Ag2 0.5000 0.5000 0.1500  8 Tb 3.15-3.16

---

Here is a relaxed structure of Tb3HoAg from Alexandria via LeMat-Bulk. Energies are from PBE.

E ... -4.2650 eV per atom
Total magnetization ... 0.000 μB per atom
ΔH_f (0 K) ... -0.001 eV/atom
Volume ... 30.0 Å³ per atom

Unit cell a=6.7003 b=6.7003 c=8.5689 alpha=88.95 beta=120.45 gamma=112.04
With the nearest neighbours (Å) after each atom.
Sites, in units of the cell vectors:
Tb1 0.7370 0.9143 0.1504  2 Ag 3.14, 3 Ho 3.44-3.49, 3 Tb 3.44-3.51
Tb2 0.2361 0.4134 0.1504  2 Ag 3.14, 3 Ho 3.44-3.49, 3 Tb 3.44-3.51
Tb3 0.7639 0.5866 0.8496  2 Ag 3.14, 3 Ho 3.44-3.49, 3 Tb 3.44-3.51
Tb4 0.8178 0.4425 0.2603  2 Ag 3.27-3.34, 7 Tb 3.44-3.51
Tb5 0.2630 0.0857 0.8496  2 Ag 3.14, 3 Ho 3.44-3.49, 3 Tb 3.44-3.51
Tb6 0.1822 0.5575 0.7397  2 Ag 3.27-3.34, 7 Tb 3.44-3.51
Ho1 0.6825 0.0588 0.7412  2 Ag 3.22-3.27, 6 Tb 3.44-3.49, 1 Ho 3.48
Ho2 0.3175 0.9412 0.2588  2 Ag 3.22-3.27, 6 Tb 3.44-3.49, 1 Ho 3.48
Ag1 0.7464 0.7533 0.4997  6 Tb 3.14-3.34, 2 Ho 3.22-3.27
Ag2 0.2536 0.2467 0.5003  6 Tb 3.14-3.34, 2 Ho 3.22-3.27

---

Here is a relaxed structure of Tb2HoAg from Alexandria via LeMat-Bulk. Energies are from PBE.

E ... -4.2978 eV per atom
Total magnetization ... 0.000 μB per atom
ΔH_f (0 K) ... -0.125 eV/atom
Volume ... 28.2 Å³ per atom

Unit cell a=3.5694 b=3.5694 c=8.8616 alpha=90.00 beta=90.00 gamma=90.00
With the nearest neighbours (Å) after each atom.
Sites, in units of the cell vectors:
Tb1 0.0000 0.0000 0.7831  4 Ag 3.17
Tb2 0.0000 0.0000 0.2169  4 Ag 3.17
Ho1 0.5000 0.5000 0.5000  8 Tb 3.56, 4 Ho 3.57
Ag1 0.5000 0.5000 0.0000  8 Tb 3.17